Entry 1:
Entry from Alexandria via LeMat-Bulk: crystalline IrF at its relaxed geometry (GGA-PBE).

- Formation energy (no corrections): 1190 meV per atom
- Energy above the lowest structure with this stoichiometry: 1772 meV/atom
- V: 34.21 Å³ per cell
- Space group: F-43m (216)

Cell lengths 3.6437, 3.6437, 3.6437 Å; angles 60.00, 60.00, 60.00 degrees
Closest atoms and distances in Å follow each position.
Fractional positions:
1 Ir 0.0000 0.0000 0.0000  4 F 2.23
2 F 0.2500 0.2500 0.2500  4 Ir 2.23

=====

Entry 2:
Entry from Alexandria via LeMat-Bulk: crystalline Ca6As2PS at its relaxed geometry (GGA-PBE).

- Formation energy (no corrections): -1231 meV per atom
- V: 557.06 Å³ per cell
- Space group: P2_1/c (14)

Cell lengths 7.0119, 7.7595, 12.3807 Å; angles 90.00, 124.21, 90.00 degrees
Closest atoms and distances in Å follow each position.
Fractional positions:
1 Ca 0.1006 0.0621 0.2486  1 P 2.79, 1 S 2.82, 2 As 2.98-2.99
2 Ca 0.1006 0.4379 0.7486  1 P 2.79, 1 S 2.82, 2 As 2.98-2.99
3 Ca 0.2502 0.6901 0.0716  1 S 2.79, 1 P 2.81, 1 As 3.01
4 Ca 0.2502 0.8099 0.5716  1 S 2.79, 1 P 2.81, 1 As 3.01
5 Ca 0.3927 0.1850 0.0729  1 P 2.77, 1 S 2.85, 1 As 3.00
6 Ca 0.3927 0.3150 0.5729  1 P 2.77, 1 S 2.85, 1 As 3.00
7 Ca 0.6073 0.6850 0.4271  1 P 2.77, 1 S 2.85, 1 As 3.00
8 Ca 0.6073 0.8150 0.9271  1 P 2.77, 1 S 2.85, 1 As 3.00
9 Ca 0.7498 0.1901 0.4284  1 S 2.79, 1 P 2.81, 1 As 3.01
10 Ca 0.7498 0.3099 0.9284  1 S 2.79, 1 P 2.81, 1 As 3.01
11 Ca 0.8994 0.5621 0.2514  1 P 2.79, 1 S 2.82, 2 As 2.98-2.99
12 Ca 0.8994 0.9379 0.7514  1 P 2.79, 1 S 2.82, 2 As 2.98-2.99
13 As 0.2868 0.0930 0.7481  6 Ca 2.98-3.19
14 As 0.2868 0.4070 0.2481  6 Ca 2.98-3.19
15 As 0.7132 0.5930 0.7519  6 Ca 2.98-3.19
16 As 0.7132 0.9070 0.2519  6 Ca 2.98-3.19
17 P 0.0000 0.0000 0.0000  6 Ca 2.77-2.81
18 P 0.0000 0.5000 0.5000  6 Ca 2.77-2.81
19 S 0.5000 0.0000 0.5000  6 Ca 2.79-2.85
20 S 0.5000 0.5000 0.0000  6 Ca 2.79-2.85

=====

Entry 3:
Entry from Alexandria via LeMat-Bulk: crystalline CaSI2O at its relaxed geometry (GGA-PBE).

- Formation energy (no corrections): -139 meV per atom
- Energy above the lowest structure with this stoichiometry: 250 meV/atom
- V: 168.54 Å³ per cell
- Space group: P4/mmm (123)

Cell lengths 6.3503, 6.3503, 4.1795 Å; angles 90.00, 90.00, 90.00 degrees
Closest atoms and distances in Å follow each position.
Fractional positions:
1 Ca 0.0000 0.0000 0.0000  2 O 2.09
2 S 0.5000 0.5000 0.5000  8 I 3.80, 2 S 4.18
3 I 0.0000 0.5000 0.0000  2 Ca 3.18
4 I 0.5000 0.0000 0.0000  2 Ca 3.18
5 O 0.0000 0.0000 0.5000  2 Ca 2.09

=====

Entry 4:
Entry from Alexandria via LeMat-Bulk: crystalline Er2ScTe4 at its relaxed geometry (GGA-PBE).

- Formation energy (no corrections): -1320 meV per atom
- Energy above the lowest structure with this stoichiometry: 0 meV/atom
- V: 220.69 Å³ per cell
- Space group: C2/m (12)

Cell lengths 8.1429, 8.1429, 7.4834 Å; angles 117.20, 117.20, 30.33 degrees
Closest atoms and distances in Å follow each position.
Fractional positions:
1 Er 0.2437 0.2437 0.2293  6 Te 3.02-3.11
2 Er 0.7563 0.7563 0.7707  6 Te 3.02-3.11
3 Sc 0.5000 0.5000 0.5000  6 Te 2.93-2.99
4 Te 0.1240 0.1240 0.4614  2 Sc 2.99, 3 Er 3.11
5 Te 0.3850 0.3850 0.0571  1 Sc 2.93, 3 Er 3.02-3.05
6 Te 0.6150 0.6150 0.9429  1 Sc 2.93, 3 Er 3.02-3.05
7 Te 0.8760 0.8760 0.5386  2 Sc 2.99, 3 Er 3.11

=====

Entry 5:
Entry from Alexandria via LeMat-Bulk: crystalline LiTaAl at its relaxed geometry (GGA-PBE).

- Energy above the lowest structure with this stoichiometry: 743 meV/atom
- V: 49.27 Å³ per cell
- Formation energy: 67.91 kJ per mole of atoms
- Space group: F-43m (216)

Cell lengths 4.1149, 4.1149, 4.1149 Å; angles 60.00, 60.00, 60.00 degrees
Closest atoms and distances in Å follow each position.
Fractional positions:
1 Li 0.0000 0.0000 0.0000  4 Ta 2.52, 4 Al 2.52
2 Ta 0.7500 0.7500 0.7500  4 Li 2.52
3 Al 0.2500 0.2500 0.2500  4 Li 2.52

=====

Entry 6:
Entry from Alexandria via LeMat-Bulk: crystalline Ac6Ir2AuBr2 at its relaxed geometry (GGA-PBE).

- Formation energy (no corrections): -979 meV per atom
- V: 410.11 Å³ per cell
- Space group: C2/m (12)

Cell lengths 7.7201, 7.7201, 8.2853 Å; angles 98.68, 98.68, 119.49 degrees
Closest atoms and distances in Å follow each position.
Fractional positions:
1 Ac 0.0824 0.4288 0.7960  2 Ir 2.97-2.99, 1 Au 3.14
2 Ac 0.2108 0.2108 0.2028  2 Ir 2.99, 1 Au 3.19
3 Ac 0.4288 0.0824 0.7960  2 Ir 2.97-2.99, 1 Au 3.14
4 Ac 0.5712 0.9176 0.2040  2 Ir 2.97-2.99, 1 Au 3.14
5 Ac 0.7892 0.7892 0.7972  2 Ir 2.99, 1 Au 3.19
6 Ac 0.9176 0.5712 0.2040  2 Ir 2.97-2.99, 1 Au 3.14
7 Ir 0.1692 0.8308 0.0000  6 Ac 2.97-2.99
8 Ir 0.8308 0.1692 0.0000  6 Ac 2.97-2.99
9 Au 0.5000 0.5000 0.0000  6 Ac 3.14-3.19
10 Br 0.3360 0.6640 0.5000  6 Ac 3.43-3.55
11 Br 0.6640 0.3360 0.5000  6 Ac 3.43-3.55

=====

Entry 7:
Entry from Alexandria via LeMat-Bulk: crystalline Sr3SnI2 at its relaxed geometry (GGA-PBE).

- Formation energy (no corrections): -1136 meV per atom
- V: 1006.51 Å³ per cell
- Space group: Fddd (70)

Cell lengths 16.2257, 15.4656, 8.5306 Å; angles 79.37, 69.52, 31.11 degrees
Closest atoms and distances in Å follow each position.
Fractional positions:
1 Sr 0.0313 0.5384 0.1821  2 Sn 3.22-3.23, 2 I 3.58-3.60
2 Sr 0.0877 0.6623 0.6623  2 Sn 3.24, 4 I 3.50-3.62
3 Sr 0.1821 0.7483 0.0313  2 Sn 3.22-3.23, 2 I 3.58-3.60
4 Sr 0.2517 0.8179 0.4616  2 Sn 3.22-3.23, 2 I 3.58-3.60
5 Sr 0.3377 0.9123 0.9123  2 Sn 3.24, 4 I 3.50-3.62
6 Sr 0.4616 0.9687 0.2517  2 Sn 3.22-3.23, 2 I 3.58-3.60
7 Sr 0.5384 0.0313 0.7483  2 Sn 3.22-3.23, 2 I 3.58-3.60
8 Sr 0.6623 0.0877 0.0877  2 Sn 3.24, 4 I 3.50-3.62
9 Sr 0.7483 0.1821 0.5384  2 Sn 3.22-3.23, 2 I 3.58-3.60
10 Sr 0.8179 0.2517 0.9687  2 Sn 3.22-3.23, 2 I 3.58-3.60
11 Sr 0.9123 0.3377 0.3377  2 Sn 3.24, 4 I 3.50-3.62
12 Sr 0.9687 0.4616 0.8179  2 Sn 3.22-3.23, 2 I 3.58-3.60
13 Sn 0.0410 0.0410 0.2090  6 Sr 3.22-3.24
14 Sn 0.2090 0.2090 0.0410  6 Sr 3.22-3.24
15 Sn 0.7910 0.7910 0.9590  6 Sr 3.22-3.24
16 Sn 0.9590 0.9590 0.7910  6 Sr 3.22-3.24
17 I 0.1310 0.1310 0.6190  6 Sr 3.50-3.66
18 I 0.2981 0.2981 0.4519  6 Sr 3.58-3.76
19 I 0.3810 0.3810 0.8690  6 Sr 3.50-3.66
20 I 0.4519 0.4519 0.2981  6 Sr 3.58-3.76
21 I 0.5481 0.5481 0.7019  6 Sr 3.58-3.76
22 I 0.6190 0.6190 0.1310  6 Sr 3.50-3.66
23 I 0.7019 0.7019 0.5481  6 Sr 3.58-3.76
24 I 0.8690 0.8690 0.3810  6 Sr 3.50-3.66

=====

Entry 8:
Entry from Alexandria via LeMat-Bulk: crystalline Ti6Ga2Os at its relaxed geometry (GGA-PBE).

- V: 168.67 Å³ per cell
- Formation energy: -3.74 kJ per mole of atoms
- Space group: Immm (71)

Cell lengths 7.4396, 7.4396, 7.4396 Å; angles 146.35, 131.74, 60.12 degrees
Closest atoms and distances in Å follow each position.
Fractional positions:
1 Ti 0.0832 0.3387 0.7445  1 Os 2.56, 3 Ga 2.64-2.66
2 Ti 0.2413 0.0000 0.2413  2 Os 2.61, 2 Ga 2.68
3 Ti 0.4059 0.6613 0.7445  1 Os 2.56, 3 Ga 2.64-2.66
4 Ti 0.5941 0.3387 0.2555  1 Os 2.56, 3 Ga 2.64-2.66
5 Ti 0.7587 0.0000 0.7587  2 Os 2.61, 2 Ga 2.68
6 Ti 0.9168 0.6613 0.2555  1 Os 2.56, 3 Ga 2.64-2.66
7 Ga 0.3311 0.8311 0.5000  8 Ti 2.64-2.68
8 Ga 0.6689 0.1689 0.5000  8 Ti 2.64-2.68
9 Os 0.0000 0.5000 0.5000  8 Ti 2.56-2.61

=====

Entry 9:
Entry from Alexandria via LeMat-Bulk: crystalline TiInPd2 at its relaxed geometry (GGA-PBE).

- V: 68.31 Å³ per cell
- Formation energy: -53.33 kJ per mole of atoms
- Space group: P4/mmm (123)

Cell lengths 3.2742, 3.2742, 6.3716 Å; angles 90.00, 90.00, 90.00 degrees
Closest atoms and distances in Å follow each position.
Fractional positions:
1 Ti 0.0000 0.0000 0.0000  8 Pd 2.71
2 In 0.0000 0.0000 0.5000  8 Pd 2.92, 2 Ti 3.19
3 Pd 0.5000 0.5000 0.2202  4 Ti 2.71, 1 Pd 2.81, 4 In 2.92
4 Pd 0.5000 0.5000 0.7798  4 Ti 2.71, 1 Pd 2.81, 4 In 2.92

=====

The lowest V belongs to which entry? IrF